[1]
## NdZnH (PBE)

Data for a relaxed NdZnH crystal.

Properties
Energy above the most stable polymorph in this dataset = 0.000 eV/atom
Total magnetization = 0.00 Bohr magnetons per cell
N(E_F) = 2.2 states/eV/f.u.
Raw total energy = -3.509 eV/atom
ρ = 6.4 Mg/m³

Unit cell a=4.319 b=7.561 c=7.036 alpha=90.00 beta=90.00 gamma=106.54
Sites, in units of the cell vectors:
1 Nd 0.352 0.704 0.035
2 Nd 0.648 0.296 0.965
3 Nd 0.852 0.704 0.465
4 Nd 0.148 0.296 0.535
5 Zn 0.021 0.041 0.168
6 Zn 0.521 0.041 0.332
7 Zn 0.479 0.959 0.668
8 Zn 0.979 0.959 0.832
9 H 0.204 0.410 0.872
10 H 0.796 0.590 0.128
11 H 0.296 0.590 0.372
12 H 0.704 0.410 0.628



[2]
## NdZnH (PBE)

Data for a relaxed NdZnH crystal.

Properties
Energy above the most stable polymorph in this dataset = 0.340 eV/atom
Total magnetization = 0.00 Bohr magnetons per cell
N(E_F) = 1.9 states/eV/f.u.
Raw total energy = -3.169 eV/atom
ρ = 5.9 Mg/m³

Unit cell a=3.518 b=3.518 c=5.408 alpha=108.98 beta=108.98 gamma=90.00
Sites, in units of the cell vectors:
1 Zn 0.297 0.297 0.593
2 Nd 0.605 0.605 0.211
3 H 0.098 0.098 0.196



[3]
## Nd2ZnH (PBE)

Data for a relaxed Nd2ZnH crystal.

Properties
Energy above the most stable polymorph in this dataset = 0.000 eV/atom
Total magnetization = 0.00 Bohr magnetons per cell
N(E_F) = 2.8 states/eV/f.u.
Raw total energy = -3.735 eV/atom
ρ = 6.5 Mg/m³

Unit cell a=3.755 b=3.755 c=7.688 alpha=75.86 beta=75.86 gamma=60.00
Sites, in units of the cell vectors:
1 Nd 0.269 0.269 0.193
2 Nd 0.065 0.065 0.805
3 Zn 0.499 0.499 0.502
4 H 0.667 0.667 0.000



Repeat the third record exactly.
## Nd2ZnH (PBE)

Data for a relaxed Nd2ZnH crystal.

Properties
Energy above the most stable polymorph in this dataset = 0.000 eV/atom
Total magnetization = 0.00 Bohr magnetons per cell
N(E_F) = 2.8 states/eV/f.u.
Raw total energy = -3.735 eV/atom
ρ = 6.5 Mg/m³

Unit cell a=3.755 b=3.755 c=7.688 alpha=75.86 beta=75.86 gamma=60.00
Sites, in units of the cell vectors:
1 Nd 0.269 0.269 0.193
2 Nd 0.065 0.065 0.805
3 Zn 0.499 0.499 0.502
4 H 0.667 0.667 0.000



What did the third record say?
## Nd2ZnH (PBE)

Data for a relaxed Nd2ZnH crystal.

Properties
Energy above the most stable polymorph in this dataset = 0.000 eV/atom
Total magnetization = 0.00 Bohr magnetons per cell
N(E_F) = 2.8 states/eV/f.u.
Raw total energy = -3.735 eV/atom
ρ = 6.5 Mg/m³

Unit cell a=3.755 b=3.755 c=7.688 alpha=75.86 beta=75.86 gamma=60.00
Sites, in units of the cell vectors:
1 Nd 0.269 0.269 0.193
2 Nd 0.065 0.065 0.805
3 Zn 0.499 0.499 0.502
4 H 0.667 0.667 0.000



What did the first record say?
## NdZnH (PBE)

Data for a relaxed NdZnH crystal.

Properties
Energy above the most stable polymorph in this dataset = 0.000 eV/atom
Total magnetization = 0.00 Bohr magnetons per cell
N(E_F) = 2.2 states/eV/f.u.
Raw total energy = -3.509 eV/atom
ρ = 6.4 Mg/m³

Unit cell a=4.319 b=7.561 c=7.036 alpha=90.00 beta=90.00 gamma=106.54
Sites, in units of the cell vectors:
1 Nd 0.352 0.704 0.035
2 Nd 0.648 0.296 0.965
3 Nd 0.852 0.704 0.465
4 Nd 0.148 0.296 0.535
5 Zn 0.021 0.041 0.168
6 Zn 0.521 0.041 0.332
7 Zn 0.479 0.959 0.668
8 Zn 0.979 0.959 0.832
9 H 0.204 0.410 0.872
10 H 0.796 0.590 0.128
11 H 0.296 0.590 0.372
12 H 0.704 0.410 0.628